GdHfCoPt (PBE, optimized geometry); N(E_F) = 3.15 states/eV/cell; ΔE_f = -211 kJ/mol of formula units
1.0
0.0000 3.3558 3.3558
3.3558 0.0000 3.3558
3.3558 3.3558 0.0000
Gd Hf Co Pt
1 1 1 1
direct
0.0000 0.0000 0.0000
0.5000 0.5000 0.5000
0.2500 0.2500 0.2500
0.7500 0.7500 0.7500